# 1
Computed, not measured: crystalline Dy2NpSe at its relaxed geometry at the GGA-PBE level of DFT.

Structure (POSCAR):
```
Dy2NpSe
1.0
-2.362 -0.095 -2.752
-2.828 -2.270 0.114
-7.403 6.511 3.738
Np Se Dy
1 1 2
Direct
0.000 0.000 0.000 Np
0.500 0.500 0.500 Se
0.106 0.106 0.681 Dy
0.894 0.894 0.319 Dy
```

Properties
V: 29.44 A^3/atom
Energy: -0.2430 Ha/atom
Density: 9.0 g cm⁻³
Density of states at the Fermi level: 2.28 states/eV/atom
Space-group type: No. 166



# 2
Computed, not measured: crystalline TbGdSiAu at its relaxed geometry at the GGA-PBE level of DFT.

Structure (POSCAR):
```
TbGdSiAu
1.0
5.075 0.000 0.000
2.537 4.395 0.000
2.537 1.465 4.143
Tb Si Gd Au
1 1 1 1
Direct
0.500 0.500 0.500 Tb
0.750 0.750 0.750 Si
0.000 0.000 0.000 Gd
0.250 0.250 0.250 Au
```

Properties
V: 23.10 A^3/atom
Energy: -0.2767 Ha/atom
Density: 9.7 g cm⁻³
Density of states at the Fermi level: 0.86 states/eV/atom
Space-group type: No. 216



# 3
Computed, not measured: crystalline ReSi2H at its relaxed geometry at the GGA-PBE level of DFT.

Structure (POSCAR):
```
ReSi2H
1.0
-0.900 2.624 3.431
-3.916 0.983 -1.779
-4.488 -2.085 3.254
Re Si H
2 4 2
Direct
0.000 0.000 0.000 Re
0.750 0.250 0.500 Re
0.474 0.125 0.250 Si
0.276 0.625 0.250 Si
0.375 0.526 0.750 Si
0.875 0.724 0.750 Si
0.500 0.500 0.000 H
0.250 0.750 0.500 H
```

Properties
V: 12.25 A^3/atom
Energy: -0.2209 Ha/atom
Density: 8.2 g cm⁻³
Density of states at the Fermi level: 0.14 states/eV/atom
Space-group type: No. 122



# 4
Computed, not measured: crystalline MgAg2 at its relaxed geometry at the GGA-PBE level of DFT.

Structure (POSCAR):
```
MgAg2
1.0
-2.957 2.957 3.365
2.957 -2.957 3.365
2.957 2.957 -3.365
Mg Ag
2 4
Direct
0.250 0.250 0.000 Mg
0.750 0.750 0.000 Mg
0.165 0.335 0.500 Ag
0.335 0.835 0.169 Ag
0.665 0.165 0.831 Ag
0.835 0.665 0.500 Ag
```

Properties
V: 19.61 A^3/atom
DFT formation energy: 8 meV/atom
Density: 6.8 g cm⁻³
Density of states at the Fermi level: 0.26 states/eV/atom
Space-group type: No. 140



# 5
Computed, not measured: crystalline LaCu2Ir at its relaxed geometry at the GGA-PBE level of DFT.

Structure (POSCAR):
```
LaCu2Ir
1.0
4.327 0.007 -0.025
2.161 3.748 -0.025
2.173 1.257 4.835
Cu Ir La
2 1 1
Direct
0.052 0.052 0.846 Cu
0.756 0.756 0.732 Cu
0.447 0.447 0.660 Ir
0.245 0.245 0.262 La
```

Properties
V: 19.65 A^3/atom
DFT formation energy: -276 meV/atom
Density: 9.7 g cm⁻³
Density of states at the Fermi level: 0.65 states/eV/atom
Space-group type: No. 8



# 6
Computed, not measured: crystalline ReTcGe at its relaxed geometry at the GGA-PBE level of DFT.

Structure (POSCAR):
```
ReTcGe
1.0
2.921 0.000 0.000
-1.460 2.529 0.000
0.000 0.000 12.082
Re Ge Tc
2 2 2
Direct
0.611 0.222 0.000 Re
0.278 0.556 0.500 Re
0.611 0.222 0.337 Ge
0.611 0.222 0.663 Ge
0.278 0.556 0.826 Tc
0.278 0.556 0.174 Tc
```

Properties
V: 14.87 A^3/atom
DFT formation energy: 51 meV/atom
Density: 13.3 g cm⁻³
Density of states at the Fermi level: 0.62 states/eV/atom
Space-group type: No. 187



# 7
Computed, not measured: crystalline ZnAuSe at its relaxed geometry at the GGA-PBE level of DFT.

Structure (POSCAR):
```
ZnAuSe
1.0
-2.589 -1.252 -0.232
1.752 -3.384 -1.299
0.898 -4.019 11.683
Zn Au Se
2 2 2
Direct
0.000 0.500 0.386 Zn
0.500 0.000 0.886 Zn
0.000 0.000 0.714 Au
0.500 0.500 0.214 Au
0.000 0.000 0.502 Se
0.500 0.500 0.002 Se
```

Properties
V: 23.98 A^3/atom
Energy: -0.1027 Ha/atom
Density: 7.9 g cm⁻³
Density of states at the Fermi level: 0.64 states/eV/atom
Space-group type: No. 44



# 8
Computed, not measured: crystalline Pr2HoUAs4 at its relaxed geometry at the GGA-PBE level of DFT.

Structure (POSCAR):
```
Pr2HoUAs4
1.0
4.180 0.000 0.000
0.000 7.257 0.143
0.000 -2.521 6.828
Pr Ho U As
2 1 1 4
Direct
0.500 0.000 0.500 Pr
0.000 0.500 0.500 Pr
0.000 0.000 0.000 Ho
0.500 0.500 0.000 U
0.500 0.249 0.234 As
0.500 0.751 0.766 As
0.000 0.257 0.766 As
0.000 0.743 0.234 As
```

Properties
V: 26.08 A^3/atom
DFT formation energy: -1308 meV/atom
Density: 7.8 g cm⁻³
Density of states at the Fermi level: 1.05 states/eV/atom
Space-group type: No. 10



# 9
Computed, not measured: crystalline ZrAlSi2 at its relaxed geometry at the GGA-PBE level of DFT.

Structure (POSCAR):
```
ZrAlSi2
1.0
-1.758 1.737 -3.293
-1.675 0.493 3.729
5.366 7.998 1.353
Zr Al Si
2 2 4
Direct
0.000 0.000 0.169 Zr
0.000 0.000 0.831 Zr
0.667 0.333 0.597 Al
0.333 0.667 0.403 Al
0.667 0.333 0.001 Si
0.333 0.667 0.999 Si
0.667 0.333 0.336 Si
0.333 0.667 0.664 Si
```

Properties
V: 17.85 A^3/atom
Energy: -0.2223 Ha/atom
Density: 4.1 g cm⁻³
Density of states at the Fermi level: 0.43 states/eV/atom
Space-group type: No. 164



# 10
Computed, not measured: crystalline Ce2DyNbN4 at its relaxed geometry at the GGA-PBE level of DFT.

Structure (POSCAR):
```
Ce2DyNbN4
1.0
-0.791 3.299 0.160
-5.158 -1.108 -2.633
-0.685 -0.450 5.899
Ce Dy Nb N
2 1 1 4
Direct
0.500 0.000 0.500 Ce
0.000 0.500 0.500 Ce
0.500 0.500 0.000 Dy
0.000 0.000 0.000 Nb
0.500 0.229 0.225 N
0.500 0.771 0.775 N
0.000 0.238 0.769 N
0.000 0.762 0.231 N
```

Properties
V: 14.09 A^3/atom
Energy: -0.3278 Ha/atom
Density: 8.7 g cm⁻³
Density of states at the Fermi level: 0.55 states/eV/atom
Space-group type: No. 10



# 11
Computed, not measured: crystalline Tb7SmAl5 at its relaxed geometry at the GGA-PBE level of DFT.

Structure (POSCAR):
```
Tb7SmAl5
1.0
6.148 0.000 0.000
3.074 7.450 0.192
3.074 0.168 7.451
Tb Sm Al
7 1 5
Direct
0.667 0.333 0.333 Tb
0.337 0.663 0.663 Tb
0.991 0.346 0.672 Tb
0.991 0.672 0.346 Tb
0.271 0.229 0.229 Tb
0.506 0.800 0.187 Tb
0.506 0.187 0.800 Tb
0.012 0.988 0.988 Sm
0.493 0.996 0.515 Al
0.996 0.996 0.515 Al
0.493 0.515 0.996 Al
0.996 0.515 0.996 Al
0.739 0.761 0.761 Al
```

Properties
V: 26.24 A^3/atom
DFT formation energy: -223 meV/atom
Density: 6.8 g cm⁻³
Density of states at the Fermi level: 0.98 states/eV/atom
Space-group type: No. 44



# 12
Computed, not measured: crystalline MgCoH4 at its relaxed geometry at the GGA-PBE level of DFT.

Structure (POSCAR):
```
MgCoH4
1.0
-3.903 0.350 -3.251
-2.642 -0.534 3.114
1.196 3.937 1.690
Mg Co H
2 2 8
Direct
0.000 0.000 0.000 Mg
0.500 0.500 0.000 Mg
0.500 0.000 0.500 Co
0.000 0.500 0.500 Co
0.899 0.554 0.131 H
0.601 0.054 0.869 H
0.242 0.259 0.455 H
0.258 0.759 0.545 H
0.101 0.446 0.869 H
0.399 0.946 0.131 H
0.758 0.741 0.545 H
0.742 0.241 0.455 H
```

Properties
V: 7.17 A^3/atom
Energy: -0.1394 Ha/atom
Density: 3.4 g cm⁻³
Density of states at the Fermi level: 0.15 states/eV/atom
Space-group type: No. 14